The following is a DFT calculation (SCAN) of a PBEsol-optimized structure of Tc3Mo.

a b c (Å): 2.6632 5.0734 5.0734
angles (deg): 117.01 100.08 100.08
Positions (direct):
Tc (0.5000, 0.5000, 0.0000)
Tc (0.5000, 0.0000, 0.5000)
Tc (0.0000, 0.5000, 0.5000)
Mo (0.0000, 0.0000, 0.0000)

DFT formation energy, kJ/mol of formula units: 52
Relative energy among the computed polymorphs, meV per atom: 46.4
Space-group type: R-3m


The following is a DFT calculation (SCAN) of a PBEsol-optimized structure of Tc3Mo.

a b c (Å): 2.7233 2.7233 9.0797
angles (deg): 81.38 81.38 60.00
Positions (direct):
Tc (0.5000, 0.5000, 0.5000)
Tc (0.7522, 0.7522, 0.7435)
Tc (0.2478, 0.2478, 0.2565)
Mo (0.0000, 0.0000, 0.0000)

DFT formation energy, kJ/mol of formula units: 57
Relative energy among the computed polymorphs, meV per atom: 60.0
Space-group type: R-3m


The following is a DFT calculation (SCAN) of a PBEsol-optimized structure of Tc7Mo.

a b c (Å): 5.4324 5.4324 5.4324
angles (deg): 60.00 60.00 60.00
Positions (direct):
Mo (0.0000, 0.0000, 0.0000)
Tc (0.5000, 0.5000, 0.5000)
Tc (0.5000, 0.0000, 0.5000)
Tc (0.0000, 0.0000, 0.5000)
Tc (0.5000, 0.0000, 0.0000)
Tc (0.0000, 0.5000, 0.0000)
Tc (0.0000, 0.5000, 0.5000)
Tc (0.5000, 0.5000, 0.0000)

DFT formation energy, kJ/mol of formula units: 71
Space-group type: Fm-3m


The following is a DFT calculation (SCAN) of a PBEsol-optimized structure of TcMo2.

a b c (Å): 3.1001 4.3904 6.7459
angles (deg): 90.00 103.28 90.00
Positions (direct):
Mo (0.2478, 0.7500, 0.4956)
Mo (0.7522, 0.2500, 0.5044)
Mo (0.5844, 0.7500, 0.1689)
Mo (0.4156, 0.2500, 0.8311)
Tc (0.0811, 0.2500, 0.1621)
Tc (0.9189, 0.7500, 0.8379)

DFT formation energy, kJ/mol of formula units: 10
Relative energy among the computed polymorphs, meV per atom: 0.0
Space-group type: Cmcm


The following is a DFT calculation (SCAN) of a PBEsol-optimized structure of TcMo2.

a b c (Å): 3.0404 4.1365 4.1365
angles (deg): 90.00 90.00 90.00
Positions (direct):
Tc (0.0000, 0.0000, 0.0000)
Mo (0.5000, 0.5000, 0.0000)
Mo (0.5000, 0.0000, 0.5000)

DFT formation energy, kJ/mol of formula units: 258
Relative energy among the computed polymorphs, meV per atom: 855.8
Space-group type: P4/mmm


The following is a DFT calculation (SCAN) of a PBEsol-optimized structure of TcMo2.

a b c (Å): 3.1061 5.1262 6.2185
angles (deg): 107.85 90.00 107.64
Positions (direct):
Tc (0.1620, 0.3241, 0.0872)
Tc (0.8380, 0.6759, 0.9128)
Mo (0.5059, 0.0118, 0.7497)
Mo (0.8320, 0.6639, 0.4163)
Mo (0.1680, 0.3361, 0.5837)
Mo (0.4941, 0.9882, 0.2503)

DFT formation energy, kJ/mol of formula units: 13
Relative energy among the computed polymorphs, meV per atom: 9.3
Space-group type: C2/m


The following is a DFT calculation (SCAN) of a PBEsol-optimized structure of TcTe3Mo.

a b c (Å): 5.2022 5.2022 5.2022
angles (deg): 90.00 90.00 90.00
Positions (direct):
Mo (0.0000, 0.0000, 0.0000)
Te (0.0000, 0.5000, 0.0000)
Te (0.5000, 0.0000, 0.0000)
Te (0.0000, 0.0000, 0.5000)
Tc (0.5000, 0.5000, 0.5000)

Uncorrected formation energy, meV per atom: 1176
Space-group type: Pm-3m


The following is a DFT calculation (SCAN) of a PBEsol-optimized structure of TcTe2Mo.

a b c (Å): 3.2170 3.2170 8.3476
angles (deg): 78.89 78.89 60.00
Positions (direct):
Tc (0.0000, 0.0000, 0.0000)
Te (0.2507, 0.2507, 0.2479)
Te (0.7493, 0.7493, 0.7521)
Mo (0.5000, 0.5000, 0.5000)

Uncorrected formation energy, meV per atom: 409
Relative energy among the computed polymorphs, meV per atom: 77.4
Space-group type: R-3m


The following is a DFT calculation (SCAN) of a PBEsol-optimized structure of TcTe4Mo.

a b c (Å): 6.0489 6.0489 6.0489
angles (deg): 60.00 60.00 60.00
Positions (direct):
Tc (0.0000, 0.0000, 0.0000)
Mo (0.7500, 0.7500, 0.7500)
Te (0.3751, 0.8748, 0.3751)
Te (0.3751, 0.3751, 0.3751)
Te (0.3751, 0.3751, 0.8748)
Te (0.8748, 0.3751, 0.3751)

Uncorrected formation energy, meV per atom: 1578
Space-group type: F-43m


The following is a DFT calculation (SCAN) of a PBEsol-optimized structure of TcTe2Mo.

a b c (Å): 4.1741 4.1741 5.1509
angles (deg): 113.90 113.90 90.00
Positions (direct):
Te (0.0000, 0.0000, 0.0000)
Te (0.7500, 0.2500, 0.5000)
Mo (0.5000, 0.5000, 0.0000)
Tc (0.2500, 0.7500, 0.5000)

Uncorrected formation energy, meV per atom: 762
Relative energy among the computed polymorphs, meV per atom: 430.0
Space-group type: I-4m2


The following is a DFT calculation (SCAN) of a PBEsol-optimized structure of TcTeMo2.

a b c (Å): 3.2305 4.3705 5.2618
angles (deg): 114.52 107.88 90.00
Positions (direct):
Tc (0.5000, 0.0000, 0.0000)
Mo (0.7430, 0.7431, 0.4860)
Mo (0.2570, 0.2569, 0.5140)
Te (0.0000, 0.5000, 0.0000)

Uncorrected formation energy, meV per atom: 284
Space-group type: Immm


The following is a DFT calculation (SCAN) of a PBEsol-optimized structure of TcTe2Mo.

a b c (Å): 3.2739 3.2739 6.5397
angles (deg): 90.00 90.00 90.00
Positions (direct):
Te (0.0000, 0.0000, 0.7508)
Te (0.0000, 0.0000, 0.2492)
Tc (0.5000, 0.5000, 0.5000)
Mo (0.5000, 0.5000, 0.0000)

Uncorrected formation energy, meV per atom: 332
Relative energy among the computed polymorphs, meV per atom: 0.0
Space-group type: P4/mmm


The following is a DFT calculation (SCAN) of a PBEsol-optimized structure of ZrTcTeMo2.

a b c (Å): 4.7718 4.7718 5.0814
angles (deg): 90.00 90.00 90.00
Positions (direct):
Mo (0.0000, 0.5000, 0.0000)
Mo (0.5000, 0.0000, 0.0000)
Tc (0.5000, 0.5000, 0.5000)
Zr (0.0000, 0.0000, 0.5000)
Te (0.0000, 0.0000, 0.0000)

Uncorrected formation energy, meV per atom: 1875
Space-group type: P4/mmm


The following is a DFT calculation (SCAN) of a PBEsol-optimized structure of TcMoW2.

a b c (Å): 2.7160 5.1593 5.1593
angles (deg): 116.71 100.25 100.25
Positions (direct):
W (0.0000, 0.0000, 0.5000)
W (0.0000, 0.5000, 0.0000)
Tc (0.5000, 0.5000, 0.5000)
Mo (0.5000, 0.0000, 0.0000)

DFT formation energy, kJ/mol of formula units: 11
Relative energy among the computed polymorphs, meV per atom: 27.8
Space-group type: C2/m


The following is a DFT calculation (SCAN) of a PBEsol-optimized structure of TcMoW2.

a b c (Å): 3.1184 4.4123 5.1794
angles (deg): 115.21 107.52 90.00
Positions (direct):
W (0.2505, 0.7505, 0.5011)
W (0.9967, 0.9967, 0.9934)
Tc (0.7486, 0.2486, 0.4973)
Mo (0.5041, 0.5041, 0.0082)

DFT formation energy, kJ/mol of formula units: 2
Relative energy among the computed polymorphs, meV per atom: 4.8
Space-group type: Imm2


The following is a DFT calculation (SCAN) of a PBEsol-optimized structure of TcMoW2.

a b c (Å): 2.7132 2.7132 8.7939
angles (deg): 90.00 90.00 109.99
Positions (direct):
Tc (0.5000, 0.5000, 0.0000)
Mo (0.5000, 0.5000, 0.5000)
W (0.0000, 0.0000, 0.7528)
W (0.0000, 0.0000, 0.2472)

DFT formation energy, kJ/mol of formula units: 18
Relative energy among the computed polymorphs, meV per atom: 44.8
Space-group type: Cmmm


The following is a DFT calculation (SCAN) of a PBEsol-optimized structure of TcMoW.

a b c (Å): 2.7004 2.7004 6.7474
angles (deg): 97.54 97.54 109.77
Positions (direct):
W (0.6681, 0.6681, 0.3359)
Mo (0.9986, 0.9986, 0.9973)
Tc (0.3335, 0.3335, 0.6668)

DFT formation energy, kJ/mol of formula units: 17
Relative energy among the computed polymorphs, meV per atom: 28.6
Space-group type: Fmm2


The following is a DFT calculation (SCAN) of a PBEsol-optimized structure of TcMoW2.

a b c (Å): 2.7465 4.0219 5.5566
angles (deg): 90.00 90.00 90.00
Positions (direct):
W (0.0000, 0.0000, 0.9933)
W (0.5000, 0.5000, 0.2513)
Mo (0.0000, 0.0000, 0.5062)
Tc (0.5000, 0.5000, 0.7492)

DFT formation energy, kJ/mol of formula units: 144
Relative energy among the computed polymorphs, meV per atom: 372.0
Space-group type: Pmm2


The following is a DFT calculation (SCAN) of a PBEsol-optimized structure of TcMoW2.

a b c (Å): 3.1176 4.4119 4.4119
angles (deg): 90.00 90.00 90.00
Positions (direct):
Tc (0.5000, 0.0000, 0.0000)
W (0.0000, 0.0000, 0.5000)
W (0.0000, 0.5000, 0.0000)
Mo (0.5000, 0.5000, 0.5000)

DFT formation energy, kJ/mol of formula units: 0
Relative energy among the computed polymorphs, meV per atom: 0.0
Space-group type: P4/mmm


The following is a DFT calculation (SCAN) of a PBEsol-optimized structure of TcMoW2.

a b c (Å): 4.4094 4.4094 4.4094
angles (deg): 60.00 60.00 60.00
Positions (direct):
Mo (0.0000, 0.0000, 0.0000)
Tc (0.5000, 0.5000, 0.5000)
W (0.7500, 0.7500, 0.7500)
W (0.2500, 0.2500, 0.2500)

DFT formation energy, kJ/mol of formula units: 1
Relative energy among the computed polymorphs, meV per atom: 2.4
Space-group type: Fm-3m


The following is a DFT calculation (SCAN) of a PBEsol-optimized structure of TcMoW2.

a b c (Å): 2.7176 4.4018 5.1671
angles (deg): 90.00 100.43 90.00
Positions (direct):
W (0.7499, 0.5000, 0.2517)
W (0.9957, 0.0000, 0.9980)
Mo (0.5084, 0.0000, 0.4993)
Tc (0.2460, 0.5000, 0.7510)

DFT formation energy, kJ/mol of formula units: 13
Relative energy among the computed polymorphs, meV per atom: 31.8
Space-group type: Pm


The following is a DFT calculation (SCAN) of a PBEsol-optimized structure of TcMoW2.

a b c (Å): 2.7106 2.7106 8.8004
angles (deg): 90.00 90.00 109.78
Positions (direct):
Tc (0.5000, 0.5000, 0.2505)
W (0.0000, 0.0000, 0.0039)
W (0.5000, 0.5000, 0.7492)
Mo (0.0000, 0.0000, 0.4966)

DFT formation energy, kJ/mol of formula units: 19
Relative energy among the computed polymorphs, meV per atom: 48.1
Space-group type: Cmm2


The following is a DFT calculation (SCAN) of a PBEsol-optimized structure of TcMoW.

a b c (Å): 3.1134 3.1134 5.1544
angles (deg): 107.58 107.58 90.00
Positions (direct):
Mo (0.0024, 0.0024, 0.0048)
Tc (0.3313, 0.3313, 0.6626)
W (0.6663, 0.6663, 0.3326)

DFT formation energy, kJ/mol of formula units: 8
Relative energy among the computed polymorphs, meV per atom: 0.0
Space-group type: I4mm


The following is a DFT calculation (SCAN) of a PBEsol-optimized structure of TcMoW2.

a b c (Å): 2.7169 4.3909 5.1746
angles (deg): 90.00 100.09 90.00
Positions (direct):
Mo (0.5000, 0.5000, 0.0000)
Tc (0.0000, 0.5000, 0.5000)
W (0.2556, 0.0000, 0.2503)
W (0.7444, 0.0000, 0.7497)

DFT formation energy, kJ/mol of formula units: 13
Relative energy among the computed polymorphs, meV per atom: 32.1
Space-group type: P2/m


The following is a DFT calculation (SCAN) of a PBEsol-optimized structure of TcMoW2.

a b c (Å): 4.4130 4.4130 4.4130
angles (deg): 60.00 60.00 60.00
Positions (direct):
Tc (0.2500, 0.2500, 0.2500)
W (0.7500, 0.7500, 0.7500)
W (0.0000, 0.0000, 0.0000)
Mo (0.5000, 0.5000, 0.5000)

DFT formation energy, kJ/mol of formula units: 14
Relative energy among the computed polymorphs, meV per atom: 36.2
Space-group type: F-43m


The following is a DFT calculation (SCAN) of a PBEsol-optimized structure of TcMoW.

a b c (Å): 2.7235 4.3740 4.3740
angles (deg): 120.00 90.00 90.00
Positions (direct):
Tc (0.6570, 0.3333, 0.6667)
W (0.3325, 0.6667, 0.3333)
Mo (0.0105, 0.0000, 0.0000)

DFT formation energy, kJ/mol of formula units: 14
Relative energy among the computed polymorphs, meV per atom: 19.4
Space-group type: P3m1


The following is a DFT calculation (SCAN) of a PBEsol-optimized structure of TcMoW2.

a b c (Å): 3.1210 3.1210 6.2555
angles (deg): 90.00 90.00 90.00
Positions (direct):
Tc (0.5000, 0.5000, 0.7566)
W (0.0000, 0.0000, 0.9964)
W (0.5000, 0.5000, 0.2534)
Mo (0.0000, 0.0000, 0.4936)

DFT formation energy, kJ/mol of formula units: 7
Relative energy among the computed polymorphs, meV per atom: 16.2
Space-group type: P4mm


The following is a DFT calculation (SCAN) of a PBEsol-optimized structure of TcMoW2.

a b c (Å): 3.1184 4.4334 5.1675
angles (deg): 115.40 107.56 90.00
Positions (direct):
Tc (0.5000, 0.0000, 0.0000)
W (0.7471, 0.7471, 0.4942)
W (0.2529, 0.2529, 0.5058)
Mo (0.0000, 0.5000, 0.0000)

DFT formation energy, kJ/mol of formula units: 8
Relative energy among the computed polymorphs, meV per atom: 20.5
Space-group type: Immm


The following is a DFT calculation (SCAN) of a PBEsol-optimized structure of TcMoW2.

a b c (Å): 3.1149 4.3994 4.4367
angles (deg): 90.00 90.00 90.00
Positions (direct):
Tc (0.0000, 0.5000, 0.5000)
W (0.0000, 0.0000, 0.0000)
W (0.5000, 0.0000, 0.5000)
Mo (0.5000, 0.5000, 0.0000)

DFT formation energy, kJ/mol of formula units: 10
Relative energy among the computed polymorphs, meV per atom: 24.9
Space-group type: Pmmm


The following is a DFT calculation (SCAN) of a PBEsol-optimized structure of YTcMo2.

a b c (Å): 3.1976 4.7594 5.3211
angles (deg): 116.57 107.49 90.00
Positions (direct):
Y (0.2480, 0.7480, 0.4961)
Tc (0.4839, 0.4839, 0.9677)
Mo (0.0174, 0.0174, 0.0348)
Mo (0.7507, 0.2507, 0.5014)

DFT formation energy, kJ/mol of formula units: 112
Relative energy among the computed polymorphs, meV per atom: 0.0
Space-group type: Imm2